Entry 1:
Here is a relaxed structure of AgMoP3 from Alexandria via LeMat-Bulk. Energies are from PBE-GGA.

The space group is Pm-3m (No. 221) and the conventional cell measures 4.649, 4.649 and 4.649 Å, with angles of 90.00, 90.00 and 90.00 degrees. Symmetry generates all atoms from Ag at (0.000, 0.000, 0.000), Mo at (0.500, 0.500, 0.500) and P at (0.000, 0.000, 0.500).

The value obtained for the density of states at the Fermi level is 6.85 states/eV/f.u. The calculation puts the formation energy from the elements at 1688 meV per atom. The value obtained for the energy above the most stable polymorph in this dataset is 1110 meV per atom. The crystal system is cubic.



Entry 2:
Here is a relaxed structure of Nb6MoOs5 from Alexandria via LeMat-Bulk. Energies are from PBE-GGA.

The space group is P2/m (No. 10) and the conventional cell measures 4.535, 6.326 and 7.190 Å, with angles of 90.00, 108.08 and 90.00 degrees. Symmetry generates all atoms from Nb at (0.000, 0.250, 0.000), Nb at (0.336, 0.249, 0.673), Mo at (0.500, 0.000, 0.000), Os at (0.169, 0.000, 0.338), Os at (0.172, 0.500, 0.343) and Os at (0.500, 0.500, 0.000).

The value obtained for the density of states at the Fermi level is 11.56 states/eV/f.u. The calculation puts the formation energy from the elements at -162 meV per atom. The crystal system is monoclinic.



Entry 3:
Here is a relaxed structure of CaZnSi2Pt5 from Alexandria via LeMat-Bulk. Energies are from PBE-GGA.

The space group is P4/mmm (No. 123) and the conventional cell measures 4.048, 4.048 and 10.494 Å, with angles of 90.00, 90.00 and 90.00 degrees. Symmetry generates all atoms from Ca at (0.000, 0.000, 0.000), Zn at (0.000, 0.000, 0.500), Si at (0.500, 0.500, 0.224), Pt at (0.000, 0.500, 0.342) and Pt at (0.500, 0.500, 0.000).

The value obtained for the density of states at the Fermi level is 3.66 states/eV/f.u. The crystal system is tetragonal. As for the uncorrected formation energy: -6.18 eV/f.u.



Entry 4:
Here is a relaxed structure of CaTlIr2 from Alexandria via LeMat-Bulk. Energies are from PBE-GGA.

The space group is R-3m (No. 166, hexagonal axes) and the conventional cell measures 3.1555, 3.1555 and 26.9301 Å, with angles of 90.00, 90.00 and 120.00 degrees. Symmetry generates all atoms from Ca at (0.0000, 0.0000, 0.0000), Tl at (0.0000, 0.0000, 0.5000) and Ir at (0.0000, 0.0000, 0.2475).

The value obtained for the density of states at the Fermi level is 3.95 states/eV/f.u. The calculation puts the formation energy from the elements at 427 meV per atom. The crystal system is trigonal.



Entry 5:
Here is a relaxed structure of Au2Br from Alexandria via LeMat-Bulk. Energies are from PBE-GGA.

The space group is I4/mmm (No. 139) and the conventional cell measures 3.033, 3.033 and 14.133 Å, with angles of 90.00, 90.00 and 90.00 degrees. Symmetry generates all atoms from Au at (0.000, 0.000, 0.182) and Br at (0.000, 0.000, 0.500).

The value obtained for the density of states at the Fermi level is 1.38 states/eV/f.u. The value obtained for the energy above the most stable polymorph in this dataset is 341 meV per atom. The crystal system is tetragonal. As for the uncorrected formation energy: 1.09 eV/f.u.



Entry 6:
Here is a relaxed structure of YTaGa2Pt from Alexandria via LeMat-Bulk. Energies are from PBE-GGA.

The space group is P4/mmm (No. 123) and the conventional cell measures 4.964, 4.964 and 4.912 Å, with angles of 90.00, 90.00 and 90.00 degrees. Symmetry generates all atoms from Y at (0.000, 0.000, 0.000), Ta at (0.500, 0.500, 0.500), Ga at (0.000, 0.500, 0.500) and Pt at (0.500, 0.500, 0.000).

The value obtained for the density of states at the Fermi level is 4.03 states/eV/f.u. The calculation puts the formation energy from the elements at 75 meV per atom. The crystal system is tetragonal.



Entry 7:
Here is a relaxed structure of Ti6BeCo from Alexandria via LeMat-Bulk. Energies are from PBE-GGA.

The space group is C2/m (No. 12) and the conventional cell measures 5.509, 9.509 and 5.510 Å, with angles of 90.00, 118.08 and 90.00 degrees. Symmetry generates all atoms from Ti at (0.244, 0.203, 0.246), Ti at (0.247, 0.000, 0.755), Be at (0.000, 0.000, 0.000) and Co at (0.000, 0.500, 0.500).

The value obtained for the density of states at the Fermi level is 9.33 states/eV/f.u. The calculation puts the formation energy from the elements at 187 meV per atom. The crystal system is monoclinic.



Entry 8:
Here is a relaxed structure of LiMoBr from Alexandria via LeMat-Bulk. Energies are from PBE-GGA.

The space group is F-43m (No. 216) and the conventional cell measures 6.751, 6.751 and 6.751 Å, with angles of 90.00, 90.00 and 90.00 degrees. Symmetry generates all atoms from Li at (0.000, 0.000, 0.000), Mo at (0.250, 0.250, 0.750) and Br at (0.000, 0.000, 0.500).

The value obtained for the density of states at the Fermi level is 1.86 states/eV/f.u. The value obtained for the energy above the most stable polymorph in this dataset is 688 meV per atom. The crystal system is cubic. As for the uncorrected formation energy: 3.03 eV/f.u.



Entry 9:
Here is a relaxed structure of La4Nd3Sn4 from Alexandria via LeMat-Bulk. Energies are from PBE-GGA.

The space group is Immm (No. 71) and the conventional cell measures 3.806, 9.625 and 19.454 Å, with angles of 90.00, 90.00 and 90.00 degrees. Symmetry generates all atoms from La at (0.000, 0.169, 0.166), Nd at (0.000, 0.000, 0.410), Nd at (0.000, 0.500, 0.500), Sn at (0.000, 0.275, 0.000) and Sn at (0.000, 0.500, 0.221).

The value obtained for the density of states at the Fermi level is 8.56 states/eV/f.u. The calculation puts the formation energy from the elements at -596 meV per atom. The crystal system is orthorhombic.